# Mg2Fe3 | Alexandria | GGA-PBE | optimized geometry
# Spin magnetization = 1.3992 μB/atom
# DOS(E_F) = 19.72 states/eV per cell
# DFT total energy = -27.500 eV per formula unit
data_Mg2Fe3
_chemical_formula_sum 'Mg16 Fe24'
_symmetry_space_group_name_H-M 'F d d 2'
_symmetry_Int_Tables_number 43
_symmetry_space_group_name_Hall 'F 2 -2d'
_cell_length_a 8.881
_cell_length_b 12.870
_cell_length_c 5.220
_cell_angle_alpha 90.00
_cell_angle_beta 90.00
_cell_angle_gamma 90.00
loop_
_atom_site_label
_atom_site_fract_x
_atom_site_fract_y
_atom_site_fract_z
Mg1 0.063 0.197 0.000
Fe1 0.000 0.000 0.158
Fe2 0.064 0.110 0.500